(1)
Material: Fe3SnBr
Method: DFT, PBE
State: relaxed Values from VASP.

As for the crystal system: cubic. The uncorrected formation energy comes out at 1.035 eV per atom. The value obtained for the polymorph energy (0 for the lowest one) is 0 meV/atom. Its space group is Pm-3m (221). The density of states at the Fermi level is 1.173 states/eV/atom.

```
&SYSTEM
  ibrav = 0, nat = 5, ntyp = 3
/
ATOMIC_SPECIES
Br 79.90 Br.upf
Sn 118.71 Sn.upf
Fe 55.84 Fe.upf
CELL_PARAMETERS angstrom
-4.414 -0.553 0.250
0.079 -2.346 -3.787
0.602 -3.747 2.334
ATOMIC_POSITIONS crystal
Br 0.000 0.000 0.000
Sn 0.500 0.500 0.500
Fe 0.500 0.000 0.000
Fe 0.000 0.000 0.500
Fe 0.000 0.500 0.000
```

---

(2)
Material: Fe2SnBr2
Method: DFT, PBE
State: relaxed Values from VASP.

As for the crystal system: tetragonal. The uncorrected formation energy comes out at 0.191 eV per atom. Its space group is I4/mmm (139). The density of states at the Fermi level is 0.542 states/eV/atom.

```
&SYSTEM
  ibrav = 0, nat = 5, ntyp = 3
/
ATOMIC_SPECIES
Sn 118.71 Sn.upf
Br 79.90 Br.upf
Fe 55.84 Fe.upf
CELL_PARAMETERS angstrom
3.495 0.000 0.000
0.000 3.495 0.000
1.748 1.748 9.935
ATOMIC_POSITIONS crystal
Sn 0.000 0.000 0.000
Br 0.345 0.345 0.311
Br 0.655 0.655 0.689
Fe 0.250 0.750 0.500
Fe 0.750 0.250 0.500
```

---

(3)
Material: TlFe2SnBr8
Method: DFT, PBE
State: relaxed Values from VASP.

As for the crystal system: trigonal. The uncorrected formation energy comes out at -0.593 eV per atom. Its space group is R-3 (148). The density of states at the Fermi level is 0.691 states/eV/atom.

```
&SYSTEM
  ibrav = 0, nat = 12, ntyp = 4
/
ATOMIC_SPECIES
Br 79.90 Br.upf
Sn 118.71 Sn.upf
Tl 204.38 Tl.upf
Fe 55.84 Fe.upf
CELL_PARAMETERS angstrom
-0.470 -6.582 2.049
3.415 -2.121 5.619
-6.876 -0.579 8.209
ATOMIC_POSITIONS crystal
Br 0.066 0.406 0.821
Br 0.294 0.934 0.179
Br 0.934 0.594 0.179
Br 0.406 0.706 0.821
Br 0.706 0.066 0.821
Br 0.830 0.830 0.509
Br 0.594 0.294 0.179
Br 0.170 0.170 0.491
Sn 0.000 0.000 0.000
Tl 0.500 0.500 0.500
Fe 0.248 0.248 0.255
Fe 0.752 0.752 0.745
```